Entry 1:
# TlCuAu

A relaxed structure of TlCuAu (PBE, Alexandria via LeMat-Bulk).

Unit cell a=3.436 b=3.506 c=9.765 alpha=90.00 beta=90.00 gamma=90.00
Space group Imm2 (No. 44)
Symmetry-distinct sites (fractional):
Tl  0.000  0.000  0.000 [2 per cell]
Cu  0.000  0.000  0.306 [2 per cell]
Au  0.000  0.000  0.697 [2 per cell]

Values from the calculation:
Total magnetic moment, μB per cell: 0.000
V, Å³ per cell: 117.61
Density, g/cm3: 13.128
DOS(E_F), states/eV/cell: 1.09
Raw total energy, eV/atom: -3.111
Crystal system: orthorhombic

Entry 2:
# TlCuAu2

A relaxed structure of TlCuAu2 (PBE, Alexandria via LeMat-Bulk).

Unit cell a=5.719 b=6.537 c=4.032 alpha=90.00 beta=90.00 gamma=90.00
Space group Cmmm (No. 65)
Symmetry-distinct sites (fractional):
Tl  0.000  0.000  0.000 [2 per cell]
Cu  0.000  0.500  0.000 [2 per cell]
Au  0.250  0.250  0.500 [4 per cell]

Values from the calculation:
Total magnetic moment, μB per cell: 0.000
V, Å³ per cell: 150.75
Density, g/cm3: 14.581
DOS(E_F), states/eV/cell: 1.97
Raw total energy, eV/atom: -3.102
Crystal system: orthorhombic

Entry 3:
# TlCu2Au

A relaxed structure of TlCu2Au (PBE, Alexandria via LeMat-Bulk).

Unit cell a=3.226 b=3.226 c=6.623 alpha=90.00 beta=90.00 gamma=90.00
Space group P4mm (No. 99)
Symmetry-distinct sites (fractional):
Tl  0.000  0.000  0.000 [1 per cell]
Cu  0.000  0.000  0.545 [1 per cell]
Cu  0.500  0.500  0.723 [1 per cell]
Au  0.500  0.500  0.323 [1 per cell]

Values from the calculation:
Total magnetic moment, μB per cell: 0.000
V, Å³ per cell: 68.91
Density, g/cm3: 12.733
DOS(E_F), states/eV/cell: 1.52
Raw total energy, eV/atom: -3.320
Crystal system: tetragonal

Entry 4:
# Tl2CuAu

A relaxed structure of Tl2CuAu (PBE, Alexandria via LeMat-Bulk).

Unit cell a=7.145 b=7.145 c=7.145 alpha=90.00 beta=90.00 gamma=90.00
Space group F-43m (No. 216)
Symmetry-distinct sites (fractional):
Tl  0.000  0.000  0.000 [4 per cell]
Tl  0.250  0.250  0.250 [4 per cell]
Cu  0.000  0.000  0.500 [4 per cell]
Au  0.250  0.250  0.750 [4 per cell]

Values from the calculation:
Total magnetic moment, μB per cell: 0.000
V, Å³ per cell: 364.76
Density, g/cm3: 12.187
DOS(E_F), states/eV/cell: 11.30
Raw total energy, eV/atom: -2.744
Crystal system: cubic

Entry 5:
# Tl2CuAu

A relaxed structure of Tl2CuAu (PBE, Alexandria via LeMat-Bulk).

Unit cell a=3.332 b=4.693 c=11.629 alpha=90.00 beta=90.00 gamma=90.00
Space group Imm2 (No. 44)
Symmetry-distinct sites (fractional):
Tl  0.000  0.000  0.000 [2 per cell]
Tl  0.000  0.500  0.211 [2 per cell]
Cu  0.000  0.000  0.487 [2 per cell]
Au  0.000  0.500  0.809 [2 per cell]

Values from the calculation:
Total magnetic moment, μB per cell: 0.000
V, Å³ per cell: 181.87
Density, g/cm3: 12.222
DOS(E_F), states/eV/cell: 2.50
Raw total energy, eV/atom: -2.879
Crystal system: orthorhombic

Entry 6:
# TlCuAu2

A relaxed structure of TlCuAu2 (PBE, Alexandria via LeMat-Bulk).

Unit cell a=3.359 b=3.445 c=6.628 alpha=90.00 beta=90.00 gamma=90.00
Space group Pmm2 (No. 25)
Symmetry-distinct sites (fractional):
Tl  0.000  0.000  0.000 [1 per cell]
Cu  0.500  0.500  0.710 [1 per cell]
Au  0.000  0.000  0.539 [1 per cell]
Au  0.500  0.500  0.289 [1 per cell]

Values from the calculation:
Total magnetic moment, μB per cell: 0.000
V, Å³ per cell: 76.70
Density, g/cm3: 14.330
DOS(E_F), states/eV/cell: 0.88
Raw total energy, eV/atom: -3.150
Crystal system: orthorhombic

- Number 6 is which compound?
  TlCuAu2